[1]
## TaCu2Au (PBE)

Data for a geometry-optimized TaCu2Au structure.

For the volume, the calculation gives 60.0 Å³ per cell. The relative energy among the computed polymorphs is 0 meV/atom. The energy relative to the elements comes out at 0.026 eV per atom.

abc: 2.840 2.840 7.440
angles: 90.00 90.00 90.00
Space group P4mm (No. 99)
One atom of each set of equivalent atoms:
Ta1 0.000 0.000 0.000 x1
Cu1 0.000 0.000 0.545 x1
Cu2 0.500 0.500 0.750 x1
Au1 0.500 0.500 0.289 x1



[2]
## Ag2SbPd2 (PBE)

Data for a geometry-optimized Ag2SbPd2 structure.

For the volume, the calculation gives 195.8 Å³ per cell. As for the raw formation energy: 42 meV per atom. The relative energy among the computed polymorphs is 141 meV/atom.

abc: 3.751 3.751 13.916
angles: 90.00 90.00 90.00
Space group I4/mmm (No. 139)
One atom of each set of equivalent atoms:
Ag1 0.000 0.500 0.250 x4
Sb1 0.000 0.000 0.000 x2
Pd1 0.000 0.000 0.403 x4



[3]
## NdCd4B3Pt12 (PBE)

Data for a geometry-optimized NdCd4B3Pt12 structure.

For the volume, the calculation gives 722.0 Å³ per cell. The energy relative to the elements comes out at 0.114 eV per atom.

abc: 8.971 8.971 8.971
angles: 90.00 90.00 90.00
Space group Im-3m (No. 229)
One atom of each set of equivalent atoms:
Nd1 0.000 0.000 0.000 x2
Cd1 0.250 0.250 0.250 x8
B1 0.000 0.000 0.500 x6
Pt1 0.000 0.000 0.286 x12
Pt2 0.000 0.250 0.500 x12



[4]
## AlBiPtO6 (PBE)

Data for a geometry-optimized AlBiPtO6 structure.

For the volume, the calculation gives 215.7 Å³ per cell. As for the raw formation energy: -1310 meV per atom.

abc: 5.1254 5.1254 9.4829
angles: 90.00 90.00 120.00
Space group P-31c (No. 163)
One atom of each set of equivalent atoms:
Al1 0.3333 0.6667 0.2500 x2
Bi1 0.0000 0.0000 0.0000 x2
Pt1 0.3333 0.6667 0.7500 x2
O1 0.0118 0.3694 0.1374 x12



[5]
## MgCdOs (PBE)

Data for a geometry-optimized MgCdOs structure.

For the volume, the calculation gives 103.2 Å³ per cell. The relative energy among the computed polymorphs is 0 meV/atom. The energy relative to the elements comes out at 0.345 eV per atom.

abc: 2.752 4.335 8.653
angles: 90.00 90.00 90.00
Space group Imm2 (No. 44)
One atom of each set of equivalent atoms:
Mg1 0.000 0.000 0.000 x2
Cd1 0.000 0.000 0.677 x2
Os1 0.000 0.000 0.344 x2



[6]
## NaLa2NiHg (PBE)

Data for a geometry-optimized NaLa2NiHg structure.

For the volume, the calculation gives 151.0 Å³ per cell. The energy relative to the elements comes out at -0.123 eV per atom.

abc: 5.424 5.424 5.133
angles: 90.00 90.00 90.00
Space group P4/mmm (No. 123)
One atom of each set of equivalent atoms:
Na1 0.000 0.000 0.000 x1
La1 0.000 0.500 0.500 x2
Ni1 0.500 0.500 0.500 x1
Hg1 0.500 0.500 0.000 x1



[7]
## La2PrIn2 (PBE)

Data for a geometry-optimized La2PrIn2 structure.

For the volume, the calculation gives 319.5 Å³ per cell. The relative energy among the computed polymorphs is 0 meV/atom. The energy relative to the elements comes out at -0.394 eV per atom.

abc: 3.938 5.572 14.696
angles: 90.00 97.72 90.00
Space group P2_1/m (No. 11)
One atom of each set of equivalent atoms:
La1 0.047 0.250 0.095 x2
La2 0.237 0.250 0.472 x2
Pr1 0.145 0.750 0.291 x2
In1 0.357 0.750 0.713 x2
In2 0.450 0.250 0.899 x2



[8]
## Li2ScBi2 (PBE)

Data for a geometry-optimized Li2ScBi2 structure.

For the volume, the calculation gives 225.9 Å³ per cell. The relative energy among the computed polymorphs is 0 meV/atom. The energy relative to the elements comes out at -0.387 eV per atom.

abc: 8.300 8.300 3.278
angles: 90.00 90.00 90.00
Space group P4/mbm (No. 127)
One atom of each set of equivalent atoms:
Li1 0.112 0.388 0.000 x4
Sc1 0.000 0.000 0.000 x2
Bi1 0.185 0.685 0.500 x4



The highest volume belongs to which entry?
NdCd4B3Pt12



Look up the volume of the fourth one.
215.7 Å³ per cell